# ScMnP2O | the Alexandria database | GGA+U | optimized geometry
# Electronic total energy (eV per formula unit): -31.5
# Magnetic moment (Bohr magnetons per cell): 2.5
data_ScMnP2O
_chemical_formula_sum 'Sc1 Mn1 P2 O1'
_cell_length_a 4.7676
_cell_length_b 4.7676
_cell_length_c 3.6243
_cell_angle_alpha 90.00
_cell_angle_beta 90.00
_cell_angle_gamma 90.00
_symmetry_space_group_name_H-M 'P 1'
_symmetry_Int_Tables_number 1
loop_
_symmetry_equiv_pos_as_xyz
'x,y,z'
loop_
_atom_site_label
_atom_site_fract_x
_atom_site_fract_y
_atom_site_fract_z
_atom_site_occupancy
Sc1 0.0000 0.0000 0.0000 1
Mn1 0.5000 0.5000 0.5000 1
P1 0.0000 0.5000 0.5000 1
P2 0.5000 0.0000 0.5000 1
O1 0.5000 0.5000 0.0000 1